No. 1
Compound: PrNdHo2Tm
Source: the Alexandria database
Functional: GGA-PBE
Structure: relaxed

Lattice parameters (Å, degrees): 6.417 6.424 8.975 110.97 90.00 90.00
Sites, in units of the cell vectors:
Pr: 0.750 0.342 0.684
Pr: 0.250 0.658 0.316
Ho: 0.500 0.250 0.000
Ho: 0.000 0.750 0.000
Ho: 0.500 0.750 0.000
Ho: 0.000 0.250 0.000
Nd: 0.250 0.843 0.686
Nd: 0.750 0.157 0.314
Tm: 0.750 0.749 0.498
Tm: 0.250 0.251 0.502

crystal system	orthorhombic
ΔE_f	0.35	eV/atom


No. 2
Compound: BeRe2Hg
Source: the Alexandria database
Functional: GGA-PBE
Structure: relaxed

Lattice parameters (Å, degrees): 4.399 4.399 3.087 90.00 90.00 90.00
Sites, in units of the cell vectors:
Re: 0.000 0.000 0.000
Re: 0.500 0.500 0.000
Be: 0.500 0.000 0.500
Hg: 0.000 0.500 0.500

crystal system	tetragonal
ΔE_f	1.02	eV/atom
energy above the lowest structure with this stoichiometry	775	meV/atom


No. 3
Compound: Pm3ThIn4
Source: the Alexandria database
Functional: GGA-PBE
Structure: relaxed

Lattice parameters (Å, degrees): 3.585 3.585 17.682 90.00 90.00 90.00
Sites, in units of the cell vectors:
Pm: 0.500 0.500 0.500
Pm: 0.500 0.500 0.748
Pm: 0.500 0.500 0.252
In: 0.000 0.000 0.624
In: 0.000 0.000 0.873
In: 0.000 0.000 0.376
In: 0.000 0.000 0.127
Th: 0.500 0.500 0.000

crystal system	tetragonal
ΔE_f	-0.44	eV/atom


No. 4
Compound: FePt3Rh4
Source: the Alexandria database
Functional: GGA-PBE
Structure: relaxed

Lattice parameters (Å, degrees): 2.755 4.121 10.954 100.84 89.98 90.00
Sites, in units of the cell vectors:
Rh: 0.500 0.404 0.808
Rh: 0.499 0.716 0.432
Rh: 0.500 0.596 0.192
Rh: 0.501 0.284 0.568
Pt: 0.000 0.844 0.687
Pt: 0.500 0.000 0.000
Pt: 0.000 0.156 0.313
Fe: 0.000 0.500 0.000

crystal system	orthorhombic
ΔE_f	0.18	eV/atom
energy above the lowest structure with this stoichiometry	82	meV/atom


No. 5
Compound: Li3PmGe3
Source: the Alexandria database
Functional: GGA-PBE
Structure: relaxed

Lattice parameters (Å, degrees): 6.657 6.657 6.657 90.00 90.00 90.00
Sites, in units of the cell vectors:
Ge: 0.500 0.750 0.000
Ge: 0.000 0.500 0.750
Ge: 0.000 0.500 0.250
Ge: 0.250 0.000 0.500
Ge: 0.500 0.250 0.000
Ge: 0.750 0.000 0.500
Li: 0.000 0.750 0.500
Li: 0.250 0.500 0.000
Li: 0.000 0.250 0.500
Li: 0.500 0.000 0.750
Li: 0.500 0.000 0.250
Li: 0.750 0.500 0.000
Pm: 0.500 0.500 0.500
Pm: 0.000 0.000 0.000

crystal system	cubic
ΔE_f	0.14	eV/atom


No. 6
Compound: YHgN3
Source: the Alexandria database
Functional: GGA-PBE
Structure: relaxed

Lattice parameters (Å, degrees): 4.138 4.138 4.138 90.00 90.00 90.00
Sites, in units of the cell vectors:
Hg: 0.000 0.000 0.000
N: 0.000 0.000 0.500
N: 0.000 0.500 0.000
N: 0.500 0.000 0.000
Y: 0.500 0.500 0.500

energy relative to the elements, uncorrected	1.316	eV/atom
crystal system	cubic


No. 7
Compound: Ta2Mn3S8
Source: the Alexandria database
Functional: GGA-PBE
Structure: relaxed

Lattice parameters (Å, degrees): 5.977 6.542 6.721 119.12 107.53 90.00
Sites, in units of the cell vectors:
S: 0.111 0.911 0.823
S: 0.413 0.853 0.227
S: 0.889 0.089 0.177
S: 0.587 0.626 0.773
S: 0.931 0.632 0.265
S: 0.413 0.374 0.227
S: 0.587 0.147 0.773
S: 0.069 0.368 0.735
Mn: 0.000 0.716 0.000
Mn: 0.500 0.000 0.000
Mn: 0.000 0.284 0.000
Ta: 0.710 0.779 0.558
Ta: 0.290 0.221 0.442

energy relative to the elements, uncorrected	-0.525	eV/atom
crystal system	monoclinic


No. 8
Compound: LaRe4Tc
Source: the Alexandria database
Functional: GGA-PBE
Structure: relaxed

Lattice parameters (Å, degrees): 5.345 5.345 5.345 60.00 60.00 60.00
Sites, in units of the cell vectors:
Re: 0.375 0.876 0.375
Re: 0.375 0.375 0.876
Re: 0.876 0.375 0.375
Re: 0.375 0.375 0.375
La: 0.000 0.000 0.000
Tc: 0.750 0.750 0.750

crystal system	cubic
ΔE_f	0.45	eV/atom


No. 9
Compound: PuCuAu3
Source: the Alexandria database
Functional: GGA-PBE
Structure: relaxed

Lattice parameters (Å, degrees): 5.359 6.677 6.678 120.03 90.00 90.00
Sites, in units of the cell vectors:
Au: 0.750 0.616 0.808
Au: 0.250 0.808 0.192
Au: 0.750 0.192 0.808
Au: 0.250 0.808 0.616
Au: 0.750 0.192 0.384
Au: 0.250 0.384 0.192
Pu: 0.250 0.333 0.667
Pu: 0.750 0.667 0.333
Cu: 0.500 0.000 0.000
Cu: 0.000 0.000 0.000

crystal system	hexagonal
ΔE_f	-0.22	eV/atom


No. 10
Compound: Ti2AlNi7Sb2
Source: the Alexandria database
Functional: GGA-PBE
Structure: relaxed

Lattice parameters (Å, degrees): 3.445 3.445 14.837 83.32 83.32 90.02
Sites, in units of the cell vectors:
Ni: 0.500 0.500 0.000
Ni: 0.065 0.565 0.870
Ni: 0.275 0.275 0.452
Ni: 0.725 0.725 0.548
Ni: 0.935 0.435 0.130
Ni: 0.565 0.065 0.870
Ni: 0.435 0.935 0.130
Ti: 0.375 0.375 0.250
Ti: 0.625 0.625 0.750
Al: 0.000 0.000 0.000
Sb: 0.186 0.186 0.625
Sb: 0.814 0.814 0.375

energy relative to the elements, uncorrected	-0.173	eV/atom
crystal system	tetragonal


No. 11
Compound: HfTa3F
Source: the Alexandria database
Functional: GGA-PBE
Structure: relaxed

Lattice parameters (Å, degrees): 4.982 4.982 4.982 90.00 90.00 90.00
Sites, in units of the cell vectors:
Ta: 0.000 0.500 0.000
Ta: 0.000 0.000 0.500
Ta: 0.500 0.000 0.000
Hf: 0.000 0.000 0.000
F: 0.500 0.500 0.500

energy relative to the elements, uncorrected	1.994	eV/atom
crystal system	cubic
energy above the lowest structure with this stoichiometry	1962	meV/atom


no.,ρ (kg/m3)
1,7537
2,16174
3,8230
4,14313
5,4320
6,7767
7,6034
8,15100
9,14423
10,7431
11,9940